# 1
{"formula": "NpMnHgI6", "functional": "PBE-GGA", "state": "optimized geometry", "cell": [[7.4730, 0.0000, 0.0000], [-3.7365, 6.4718, 0.0000], [0.0000, 0.0000, 9.3999]], "species": ["Np", "Mn", "Hg", "I", "I", "I", "I", "I", "I"], "fractional_positions": [[0.0000, 0.0000, 0.0000], [0.6667, 0.3333, 0.0000], [0.3333, 0.6667, 0.5000], [0.3455, 0.0262, 0.8183], [0.3455, 0.3193, 0.1817], [0.6807, 0.0262, 0.1817], [0.6807, 0.6545, 0.8183], [0.9738, 0.3193, 0.8183], [0.9738, 0.6545, 0.1817]], "energy_ev_per_cell": -36.75, "space_group": "P312, No. 149"}

***

# 2
{"formula": "Li6Zn2Pt", "functional": "PBE-GGA", "state": "optimized geometry", "cell": [[3.8329, 2.2129, 2.5850], [-3.8329, 2.2129, 2.5850], [0.0000, -4.4258, 2.5850]], "species": ["Li", "Li", "Li", "Li", "Li", "Li", "Zn", "Zn", "Pt"], "fractional_positions": [[0.0000, 0.3392, 0.6608], [0.0000, 0.6608, 0.3392], [0.3392, 0.0000, 0.6608], [0.3392, 0.6608, 0.0000], [0.6608, 0.0000, 0.3392], [0.6608, 0.3392, 0.0000], [0.1675, 0.1675, 0.1675], [0.8325, 0.8325, 0.8325], [0.5000, 0.5000, 0.5000]], "ef_mev_per_atom": -286, "energy_ev_per_cell": -22.64, "space_group": "R-3m, No. 166"}

***

# 3
{"formula": "Mg4Re5", "functional": "PBE-GGA", "state": "optimized geometry", "cell": [[8.1298, 0.0000, 0.0000], [-4.0649, 7.0406, 0.0000], [0.0000, 0.0000, 5.1837]], "species": ["Mg", "Mg", "Mg", "Mg", "Mg", "Mg", "Mg", "Mg", "Re", "Re", "Re", "Re", "Re", "Re", "Re", "Re", "Re", "Re"], "fractional_positions": [[0.0000, 0.0000, 0.0000], [0.0000, 0.0000, 0.5000], [0.0000, 0.2819, 0.2500], [0.0000, 0.7181, 0.7500], [0.2819, 0.0000, 0.2500], [0.2819, 0.2819, 0.7500], [0.7181, 0.0000, 0.7500], [0.7181, 0.7181, 0.2500], [0.0000, 0.4102, 0.7500], [0.0000, 0.5898, 0.2500], [0.3333, 0.6667, 0.0000], [0.3333, 0.6667, 0.5000], [0.4102, 0.0000, 0.7500], [0.4102, 0.4102, 0.2500], [0.5898, 0.0000, 0.2500], [0.5898, 0.5898, 0.7500], [0.6667, 0.3333, 0.0000], [0.6667, 0.3333, 0.5000]], "ef_mev_per_atom": 620, "energy_ev_per_cell": -126.08, "space_group": "P6_3/mcm, No. 193"}

***

# 4
{"formula": "CuRe2Si", "functional": "PBE-GGA", "state": "optimized geometry", "cell": [[8.6552, 0.0000, 0.0000], [0.0000, 2.7889, 0.0000], [-1.1276, 0.0000, 4.6125]], "species": ["Cu", "Cu", "Re", "Re", "Re", "Re", "Si", "Si"], "fractional_positions": [[0.0000, 0.0000, 0.0000], [0.5000, 0.5000, 0.0000], [0.2398, 0.0000, 0.7480], [0.2602, 0.5000, 0.2520], [0.7398, 0.5000, 0.7480], [0.7602, 0.0000, 0.2520], [0.0000, 0.5000, 0.5000], [0.5000, 0.0000, 0.5000]], "energy_ev_per_cell": -67.46, "space_group": "C2/m, No. 12"}

***

# 5
{"formula": "YB3W", "functional": "PBE-GGA", "state": "optimized geometry", "cell": [[4.2079, 0.0000, 0.0000], [0.0000, 4.2079, 0.0000], [0.0000, 0.0000, 4.2079]], "species": ["Y", "B", "B", "B", "W"], "fractional_positions": [[0.0000, 0.0000, 0.0000], [0.0000, 0.0000, 0.5000], [0.0000, 0.5000, 0.0000], [0.5000, 0.0000, 0.0000], [0.5000, 0.5000, 0.5000]], "ef_mev_per_atom": 2613, "energy_ev_per_cell": -26.38, "space_group": "Pm-3m, No. 221"}

***

# 6
{"formula": "Pu2BrO", "functional": "PBE-GGA", "state": "optimized geometry", "cell": [[3.5995, 0.0000, 0.0000], [-1.7998, 3.1173, 0.0000], [0.0000, 0.0000, 22.0159]], "species": ["Pu", "Pu", "Pu", "Pu", "Pu", "Pu", "Br", "Br", "Br", "O", "O", "O"], "fractional_positions": [[0.0000, 0.0000, 0.2280], [0.0000, 0.0000, 0.7720], [0.3333, 0.6667, 0.4387], [0.3333, 0.6667, 0.8946], [0.6667, 0.3333, 0.1054], [0.6667, 0.3333, 0.5613], [0.0000, 0.0000, 0.0000], [0.3333, 0.6667, 0.6667], [0.6667, 0.3333, 0.3333], [0.0000, 0.0000, 0.5000], [0.3333, 0.6667, 0.1667], [0.6667, 0.3333, 0.8333]], "energy_ev_per_cell": -125.07, "space_group": "R-3m, No. 166"}

***

# 7
{"formula": "Ce2PaP3", "functional": "PBE-GGA", "state": "optimized geometry", "cell": [[3.4965, -6.0558, 0.0000], [3.4965, 6.0558, 0.0000], [-2.3317, 0.0000, 6.6038]], "species": ["Ce", "Ce", "Ce", "Ce", "Pa", "Pa", "P", "P", "P", "P", "P", "P"], "fractional_positions": [[0.0000, 0.0000, 0.0000], [0.1650, 0.8350, 0.5000], [0.5000, 0.5000, 0.5000], [0.8350, 0.1650, 0.5000], [0.3330, 0.6670, 0.0000], [0.6670, 0.3330, 0.0000], [0.0813, 0.4202, 0.2433], [0.2585, 0.2585, 0.7578], [0.4202, 0.0813, 0.2433], [0.5798, 0.9187, 0.7567], [0.7415, 0.7415, 0.2422], [0.9187, 0.5798, 0.7567]], "ef_mev_per_atom": -1445, "energy_ev_per_cell": -92.52, "space_group": "C2/m, No. 12"}

***

# 8
{"formula": "La2NdZn9", "functional": "PBE-GGA", "state": "optimized geometry", "cell": [[2.7795, 1.6047, 8.8450], [-2.7795, 1.6047, 8.8450], [0.0000, -3.2095, 8.8450]], "species": ["La", "La", "Nd", "Zn", "Zn", "Zn", "Zn", "Zn", "Zn", "Zn", "Zn", "Zn"], "fractional_positions": [[0.1435, 0.1435, 0.1435], [0.8565, 0.8565, 0.8565], [0.0000, 0.0000, 0.0000], [0.0769, 0.5811, 0.5811], [0.3349, 0.3349, 0.3349], [0.4189, 0.4189, 0.9231], [0.4189, 0.9231, 0.4189], [0.5000, 0.5000, 0.5000], [0.5811, 0.0769, 0.5811], [0.5811, 0.5811, 0.0769], [0.6651, 0.6651, 0.6651], [0.9231, 0.4189, 0.4189]], "ef_mev_per_atom": -296, "energy_ev_per_cell": -29.64, "space_group": "R-3m, No. 166"}

***

# 9
{"formula": "Zr2CuNi2", "functional": "PBE-GGA", "state": "optimized geometry", "cell": [[6.9321, 0.0000, 0.0000], [0.0000, 6.9321, 0.0000], [0.0000, 0.0000, 3.3449]], "species": ["Zr", "Zr", "Zr", "Zr", "Cu", "Cu", "Ni", "Ni", "Ni", "Ni"], "fractional_positions": [[0.1761, 0.3239, 0.0000], [0.3239, 0.8239, 0.0000], [0.6761, 0.1761, 0.0000], [0.8239, 0.6761, 0.0000], [0.0000, 0.0000, 0.5000], [0.5000, 0.5000, 0.5000], [0.1256, 0.6256, 0.5000], [0.3744, 0.1256, 0.5000], [0.6256, 0.8744, 0.5000], [0.8744, 0.3744, 0.5000]], "ef_mev_per_atom": -341, "energy_ev_per_cell": -68.92, "space_group": "P4/mbm, No. 127"}

***

# 10
{"formula": "SrCu2Ni", "functional": "PBE-GGA", "state": "optimized geometry", "cell": [[6.5997, 0.0000, 0.0000], [0.0000, 6.5997, 0.0000], [0.0000, 0.0000, 6.5997]], "species": ["Sr", "Sr", "Sr", "Sr", "Cu", "Cu", "Cu", "Cu", "Cu", "Cu", "Cu", "Cu", "Ni", "Ni", "Ni", "Ni"], "fractional_positions": [[0.0000, 0.0000, 0.0000], [0.0000, 0.5000, 0.5000], [0.5000, 0.0000, 0.5000], [0.5000, 0.5000, 0.0000], [0.2500, 0.2500, 0.2500], [0.2500, 0.2500, 0.7500], [0.2500, 0.7500, 0.2500], [0.2500, 0.7500, 0.7500], [0.7500, 0.2500, 0.2500], [0.7500, 0.2500, 0.7500], [0.7500, 0.7500, 0.2500], [0.7500, 0.7500, 0.7500], [0.0000, 0.0000, 0.5000], [0.0000, 0.5000, 0.0000], [0.5000, 0.0000, 0.0000], [0.5000, 0.5000, 0.5000]], "ef_mev_per_atom": 345, "energy_ev_per_cell": -57.10, "space_group": "Fm-3m, No. 225"}

***

# 11
{"formula": "Nd2ZnGa3Cu4", "functional": "PBE-GGA", "state": "optimized geometry", "cell": [[4.2475, 0.0000, 0.0000], [0.0000, 4.2475, 0.0000], [0.0000, 0.0000, 10.0066]], "species": ["Nd", "Nd", "Zn", "Ga", "Ga", "Ga", "Cu", "Cu", "Cu", "Cu"], "fractional_positions": [[0.0000, 0.5000, 0.2454], [0.5000, 0.0000, 0.7546], [0.0000, 0.0000, 0.5000], [0.0000, 0.5000, 0.8706], [0.5000, 0.0000, 0.1294], [0.5000, 0.5000, 0.5000], [0.0000, 0.0000, 0.0000], [0.0000, 0.5000, 0.6298], [0.5000, 0.0000, 0.3702], [0.5000, 0.5000, 0.0000]], "ef_mev_per_atom": -393, "energy_ev_per_cell": -40.20, "space_group": "P-4m2, No. 115"}

***

# 12
{"formula": "CoNiW2", "functional": "PBE-GGA", "state": "optimized geometry", "cell": [[3.7796, 0.0000, 0.0000], [0.0000, 3.7796, 0.0000], [0.0000, 0.0000, 3.7315]], "species": ["Co", "Ni", "W", "W"], "fractional_positions": [[0.0000, 0.0000, 0.0000], [0.5000, 0.5000, 0.0000], [0.0000, 0.5000, 0.5000], [0.5000, 0.0000, 0.5000]], "ef_mev_per_atom": 51, "energy_ev_per_cell": -38.59, "space_group": "P4/mmm, No. 123"}